Record 1
Below is a relaxed structure of Cs2BaSrH, with properties calculated at the GGA-PBE level.

Computed properties:
Uncorrected energy (eV per atom): -1.65
V (Å³ per atom): 56.6

abc: 7.0601 7.0601 5.6762
angles: 90.00 90.00 90.00
Closest atoms and distances in Å follow each position.
Element x y z (fractional)
Cs1 0.0000 0.5000 0.0000  2 H 3.53
Cs2 0.5000 0.0000 0.0000  2 H 3.53
Ba1 0.0000 0.0000 0.5000  2 H 2.84
Sr1 0.5000 0.5000 0.5000  8 Cs 4.53, 4 Ba 4.99
H1 0.0000 0.0000 0.0000  2 Ba 2.84

***

Record 2
Below is a relaxed structure of HfZrTc, with properties calculated at the GGA-PBE level.

Computed properties:
V (Å³ per atom): 19.3
Energy of formation from the pure elements (eV/atom): -0.29
Distance to the lowest polymorph of the same formula (meV/atom): 0.0

abc: 3.3158 3.3158 10.5302
angles: 90.00 90.00 90.00
Closest atoms and distances in Å follow each position.
Element x y z (fractional)
Hf1 0.0000 0.0000 0.0000  4 Tc 2.80
Hf2 0.5000 0.5000 0.5000  4 Tc 2.80
Zr1 0.0000 0.0000 0.7021  4 Tc 2.84, 5 Hf 3.14-3.17
Zr2 0.5000 0.5000 0.2021  4 Tc 2.84, 5 Hf 3.14-3.17
Tc1 0.0000 0.0000 0.3550  4 Hf 2.80, 4 Zr 2.84
Tc2 0.5000 0.5000 0.8550  4 Hf 2.80, 4 Zr 2.84

***

Record 3
Below is a relaxed structure of BeCd2Pb, with properties calculated at the GGA-PBE level.

Computed properties:
V (Å³ per atom): 22.5
Energy of formation from the pure elements (eV/atom): 0.37
Distance to the lowest polymorph of the same formula (meV/atom): 66.1

abc: 4.0303 4.3469 5.4274
angles: 90.00 108.77 90.00
Closest atoms and distances in Å follow each position.
Element x y z (fractional)
Be1 0.0000 0.0000 0.0000  4 Cd 2.62, 2 Pb 2.81
Cd1 0.1506 0.5000 0.7885  2 Be 2.62, 1 Cd 2.92
Cd2 0.8494 0.5000 0.2115  2 Be 2.62, 1 Cd 2.92
Pb1 0.5000 0.0000 0.5000  2 Be 2.81

***

Record 4
Below is a relaxed structure of CaCuTe2N, with properties calculated at the GGA-PBE level.

Computed properties:
V (Å³ per atom): 33.9
Distance to the lowest polymorph of the same formula (meV/atom): 1694.1

abc: 5.7325 5.7325 5.1589
angles: 90.00 90.00 90.00
Closest atoms and distances in Å follow each position.
Element x y z (fractional)
Ca1 0.0000 0.0000 0.0000  2 Cu 2.58, 4 Te 2.87
Cu1 0.0000 0.0000 0.5000  2 Ca 2.58
Te1 0.0000 0.5000 0.0000  2 Ca 2.87
Te2 0.5000 0.0000 0.0000  2 Ca 2.87
N1 0.5000 0.5000 0.5000  8 Te 3.86, 4 Cu 4.05

***

Record 5
Below is a relaxed structure of Li2PbSeN, with properties calculated at the GGA-PBE level.

Computed properties:
Uncorrected energy (eV per atom): -3.84
V (Å³ per atom): 17.2

abc: 4.2104 4.2104 4.8385
angles: 90.00 90.00 90.00
Closest atoms and distances in Å follow each position.
Element x y z (fractional)
Li1 0.0000 0.5000 0.0000  2 N 2.11
Li2 0.5000 0.0000 0.0000  2 N 2.11
Pb1 0.0000 0.0000 0.5000  4 Se 2.98, 8 Li 3.21
Se1 0.5000 0.5000 0.5000  2 N 2.42
N1 0.5000 0.5000 0.0000  4 Li 2.11

***

Record 6
Below is a relaxed structure of HoErTlS, with properties calculated at the GGA-PBE level.

Computed properties:
Uncorrected energy (eV per atom): -5.04
V (Å³ per atom): 24.8

abc: 6.5232 3.7680 8.3552
angles: 90.00 104.99 90.00
Closest atoms and distances in Å follow each position.
Element x y z (fractional)
Ho1 0.0000 0.0000 0.0000  3 S 2.72
Ho2 0.5000 0.5000 0.0000  3 S 2.72
Er1 0.2982 0.5000 0.3951  3 S 2.68
Er2 0.7982 0.0000 0.3951  3 S 2.68
Tl1 0.2319 0.0000 0.6966  3 Er 3.26-3.27, 3 Ho 3.27-3.28
Tl2 0.7319 0.5000 0.6966  3 Er 3.26-3.27, 3 Ho 3.27-3.28
S1 0.4005 0.0000 0.2018  3 Er 2.68, 3 Ho 2.72
S2 0.9005 0.5000 0.2018  3 Er 2.68, 3 Ho 2.72

***

Record 7
Below is a relaxed structure of Si4AgSb, with properties calculated at the GGA-PBE level.

Computed properties:
Uncorrected energy (eV per atom): -4.21
V (Å³ per atom): 17.9

abc: 5.3375 5.3375 5.3375
angles: 60.00 60.00 60.00
Closest atoms and distances in Å follow each position.
Element x y z (fractional)
Si1 0.1232 0.1232 0.1232  6 Si 2.63-2.71
Si2 0.1232 0.1232 0.6303  6 Si 2.63-2.71
Si3 0.1232 0.6303 0.1232  6 Si 2.63-2.71
Si4 0.6303 0.1232 0.1232  6 Si 2.63-2.71
Ag1 0.7500 0.7500 0.7500  12 Si 3.13, 4 Sb 3.27
Sb1 0.5000 0.5000 0.5000  12 Si 3.13, 4 Ag 3.27

***

Record 8
Below is a relaxed structure of MoP2Au, with properties calculated at the GGA-PBE level.

Computed properties:
V (Å³ per atom): 17.9
Energy of formation from the pure elements (eV/atom): 0.40
Distance to the lowest polymorph of the same formula (meV/atom): 428.0

abc: 3.4368 4.3015 9.6767
angles: 90.00 90.00 90.00
Closest atoms and distances in Å follow each position.
Element x y z (fractional)
Mo1 0.0000 0.0000 0.0000  2 P 2.47, 4 Mo 2.75
Mo2 0.5000 0.5000 0.0000  2 P 2.47, 4 Mo 2.75
P1 0.0000 0.0000 0.5377  4 Au 2.74-3.03, 4 P 2.75
P2 0.0000 0.5000 0.1835  2 Mo 2.47, 4 P 2.75
P3 0.5000 0.0000 0.1835  2 Mo 2.47, 4 P 2.75
P4 0.5000 0.5000 0.5377  4 Au 2.74-3.03, 4 P 2.75
Au1 0.0000 0.5000 0.7584  4 P 2.74-3.03, 4 Au 2.75, 2 Mo 2.90
Au2 0.5000 0.0000 0.7584  4 P 2.74-3.03, 4 Au 2.75, 2 Mo 2.90

***

Record 9
Below is a relaxed structure of H2PtPbF, with properties calculated at the GGA-PBE level.

Computed properties:
Uncorrected energy (eV per atom): -4.32
V (Å³ per atom): 14.1

abc: 3.5645 3.5645 5.5520
angles: 90.00 90.00 90.00
Closest atoms and distances in Å follow each position.
Element x y z (fractional)
H1 0.0000 0.5000 0.0000  2 Pt 1.78
H2 0.5000 0.0000 0.0000  2 Pt 1.78
Pt1 0.0000 0.0000 0.0000  4 H 1.78
Pb1 0.0000 0.0000 0.5000  4 F 2.52, 2 Pt 2.78
F1 0.5000 0.5000 0.5000  4 Pb 2.52

***

Record 10
Below is a relaxed structure of LiInPb, with properties calculated at the GGA-PBE level.

Computed properties:
V (Å³ per atom): 26.2
Energy of formation from the pure elements (eV/atom): -0.09

abc: 3.2831 4.6739 10.2362
angles: 90.00 90.00 90.00
Closest atoms and distances in Å follow each position.
Element x y z (fractional)
Li1 0.0000 0.0000 0.0000  2 Li 3.28, 8 Pb 3.30
Li2 0.0000 0.5000 0.5000  8 In 3.22, 2 Li 3.28
In1 0.5000 0.0000 0.3541  3 In 2.99-3.28, 2 Pb 3.06, 4 Li 3.22
In2 0.5000 0.0000 0.6459  3 In 2.99-3.28, 2 Pb 3.06, 4 Li 3.22
Pb1 0.5000 0.5000 0.1606  2 In 3.06, 3 Pb 3.28-3.29, 4 Li 3.30
Pb2 0.5000 0.5000 0.8394  2 In 3.06, 3 Pb 3.28-3.29, 4 Li 3.30

***

Record 11
Below is a relaxed structure of KSrAl2, with properties calculated at the GGA-PBE level.

Computed properties:
V (Å³ per atom): 32.3
Energy of formation from the pure elements (eV/atom): 0.08
Distance to the lowest polymorph of the same formula (meV/atom): 2.6

abc: 4.5002 5.7425 9.9900
angles: 90.00 90.00 90.00
Closest atoms and distances in Å follow each position.
Element x y z (fractional)
K1 0.0000 0.0000 0.0000  4 Sr 3.44-3.82, 8 Al 3.57-3.75
K2 0.5000 0.5000 0.5000  4 Sr 3.44-3.82, 8 Al 3.57-3.75
Sr1 0.0000 0.5000 0.8095  4 K 3.44-3.82, 8 Al 3.57-3.78
Sr2 0.5000 0.0000 0.3095  4 K 3.44-3.82, 8 Al 3.57-3.78
Al1 0.0000 0.0000 0.5865  2 Al 2.58
Al2 0.0000 0.5000 0.2122  2 Al 2.58
Al3 0.5000 0.0000 0.7122  2 Al 2.58
Al4 0.5000 0.5000 0.0865  2 Al 2.58

***

Record 12
Below is a relaxed structure of CePrNiHg, with properties calculated at the GGA-PBE level.

Computed properties:
V (Å³ per atom): 25.1
Energy of formation from the pure elements (eV/atom): -0.18

abc: 7.3733 7.3733 7.3733
angles: 90.00 90.00 90.00
Closest atoms and distances in Å follow each position.
Element x y z (fractional)
Ce1 0.0000 0.0000 0.0000  4 Ni 3.19, 4 Hg 3.19
Ce2 0.0000 0.5000 0.5000  4 Ni 3.19, 4 Hg 3.19
Ce3 0.5000 0.0000 0.5000  4 Ni 3.19, 4 Hg 3.19
Ce4 0.5000 0.5000 0.0000  4 Ni 3.19, 4 Hg 3.19
Pr1 0.0000 0.0000 0.5000  4 Hg 3.19, 4 Ni 3.19
Pr2 0.0000 0.5000 0.0000  4 Hg 3.19, 4 Ni 3.19
Pr3 0.5000 0.0000 0.0000  4 Hg 3.19, 4 Ni 3.19
Pr4 0.5000 0.5000 0.5000  4 Hg 3.19, 4 Ni 3.19
Ni1 0.2500 0.2500 0.2500  4 Pr 3.19, 4 Ce 3.19
Ni2 0.2500 0.7500 0.7500  4 Ce 3.19, 4 Pr 3.19
Ni3 0.7500 0.2500 0.7500  4 Ce 3.19, 4 Pr 3.19
Ni4 0.7500 0.7500 0.2500  4 Ce 3.19, 4 Pr 3.19
Hg1 0.2500 0.2500 0.7500  4 Ce 3.19, 4 Pr 3.19
Hg2 0.2500 0.7500 0.2500  4 Ce 3.19, 4 Pr 3.19
Hg3 0.7500 0.2500 0.2500  4 Ce 3.19, 4 Pr 3.19
Hg4 0.7500 0.7500 0.7500  4 Ce 3.19, 4 Pr 3.19

***

What is the V in the sixth record?
24.8 Å³ per atom